Here is crystalline CaNi3O at its relaxed geometry from the Alexandria database. Energies are from GGA+U.

Lattice parameters (Å, degrees): 4.8609 4.8609 4.8609 90.00 90.00 90.00
With the nearest neighbours (Å) after each atom.
Space group Pm-3m (No. 221)
Inequivalent atoms, fractional coordinates:
Ca 0.0000 0.0000 0.0000 (multiplicity 1)  6 Ni 2.43
Ni 0.0000 0.0000 0.5000 (multiplicity 3)  2 Ca 2.43
O 0.5000 0.5000 0.5000 (multiplicity 1)  12 Ni 3.44

Magnetic moment, μB/f.u.: 3.0
Energy above the lowest structure with this stoichiometry, meV per atom: 1577.7
Energy, eV/atom: -0.996